1.
First-principles (PBE) data for an optimized crystal structure of Dy3Al5Te12, as listed in Alexandria.

a = 14.8261 Å, b = 14.8261 Å, c = 14.8261 Å
α = 109.47°, β = 109.47°, γ = 109.47°
Last column: nearest neighbours and their distance in Å.
Element x y z (fractional)
1 Te 0.4646 0.6754 0.0895  2 Al 2.63-2.81
2 Al 0.0000 0.5000 0.0000  6 Te 2.81
3 Te 0.5354 0.2108 0.1248  2 Al 2.63-2.81
4 Te 0.1248 0.7108 0.5354  2 Al 2.63-2.81
5 Al 0.3750 0.1250 0.7500  4 Te 2.63
6 Te 0.5895 0.9646 0.6754  2 Al 2.63-2.81
7 Te 0.0859 0.1754 0.2108  2 Al 2.63-2.81
8 Dy 0.6250 0.2500 0.3750  8 Te 3.26-3.30
9 Dy 0.3750 0.7500 0.6250  8 Te 3.26-3.30
10 Te 0.6754 0.2108 0.5859  2 Al 2.63-2.81
11 Al 0.6250 0.7500 0.8750  4 Te 2.63
12 Al 0.0000 0.5000 0.5000  6 Te 2.81
13 Te 0.2108 0.5354 0.6248  2 Al 2.63-2.81
14 Te 0.4105 0.3752 0.5859  2 Al 2.63-2.81
15 Te 0.9105 0.0859 0.8752  2 Al 2.63-2.81
16 Dy 0.2500 0.6250 0.8750  8 Te 3.26-3.30
17 Te 0.3752 0.9646 0.7892  2 Al 2.63-2.81
18 Dy 0.8750 0.1250 0.2500  8 Te 3.26-3.30
19 Al 0.6250 0.8750 0.2500  4 Te 2.63
20 Te 0.1754 0.0859 0.7108  2 Al 2.63-2.81
21 Al 0.0000 0.0000 0.0000  6 Te 2.81
22 Te 0.0895 0.1754 0.4646  2 Al 2.63-2.81
23 Dy 0.7500 0.8750 0.6250  8 Te 3.26-3.30
24 Al 0.7500 0.6250 0.3750  4 Te 2.63
25 Te 0.1248 0.4141 0.0895  2 Al 2.63-2.81
26 Al 0.8750 0.6250 0.7500  4 Te 2.63
27 Te 0.3246 0.7892 0.4141  2 Al 2.63-2.81
28 Te 0.0354 0.6248 0.7108  2 Al 2.63-2.81
29 Al 0.0000 0.0000 0.5000  6 Te 2.81
30 Al 0.2500 0.3750 0.6250  4 Te 2.63
31 Te 0.8246 0.9105 0.0354  2 Al 2.63-2.81
32 Te 0.2108 0.6754 0.0859  2 Al 2.63-2.81
33 Te 0.4105 0.0354 0.3246  2 Al 2.63-2.81
34 Te 0.0895 0.9141 0.1248  2 Al 2.63-2.81
35 Te 0.4141 0.2892 0.3246  2 Al 2.63-2.81
36 Te 0.9646 0.3752 0.2892  2 Al 2.63-2.81
37 Te 0.7108 0.5859 0.1754  2 Al 2.63-2.81
38 Al 0.5000 0.0000 0.0000  6 Te 2.81
39 Te 0.9646 0.5895 0.1754  2 Al 2.63-2.81
40 Al 0.5000 0.5000 0.5000  6 Te 2.81
41 Al 0.5000 0.0000 0.5000  6 Te 2.81
42 Te 0.0859 0.9105 0.3752  2 Al 2.63-2.81
43 Te 0.6248 0.5895 0.9141  2 Al 2.63-2.81
44 Te 0.8246 0.9141 0.2892  2 Al 2.63-2.81
45 Te 0.0354 0.4105 0.8246  2 Al 2.63-2.81
46 Dy 0.8750 0.7500 0.1250  8 Te 3.26-3.30
47 Te 0.7892 0.4646 0.3752  2 Al 2.63-2.81
48 Te 0.7892 0.3246 0.9141  2 Al 2.63-2.81
49 Te 0.5354 0.3246 0.9105  2 Al 2.63-2.81
50 Al 0.3750 0.2500 0.1250  4 Te 2.63
51 Te 0.5859 0.8752 0.4105  2 Al 2.63-2.81
52 Te 0.8752 0.2892 0.4646  2 Al 2.63-2.81
53 Te 0.9105 0.8246 0.5354  2 Al 2.63-2.81
54 Te 0.5895 0.6248 0.4141  2 Al 2.63-2.81
55 Te 0.5859 0.7108 0.6754  2 Al 2.63-2.81
56 Te 0.9141 0.0895 0.6248  2 Al 2.63-2.81
57 Al 0.2500 0.8750 0.1250  4 Te 2.63
58 Al 0.7500 0.1250 0.8750  4 Te 2.63
59 Te 0.3752 0.4105 0.0859  2 Al 2.63-2.81
60 Dy 0.1250 0.2500 0.8750  8 Te 3.26-3.30
61 Al 0.1250 0.7500 0.3750  4 Te 2.63
62 Al 0.1250 0.3750 0.2500  4 Te 2.63
63 Te 0.1754 0.0895 0.9646  2 Al 2.63-2.81
64 Dy 0.6250 0.3750 0.7500  8 Te 3.26-3.30
65 Al 0.8750 0.2500 0.6250  4 Te 2.63
66 Dy 0.2500 0.1250 0.3750  8 Te 3.26-3.30
67 Te 0.2892 0.4141 0.8246  2 Al 2.63-2.81
68 Te 0.6248 0.0354 0.2108  2 Al 2.63-2.81
69 Te 0.8752 0.5859 0.9105  2 Al 2.63-2.81
70 Te 0.6754 0.4646 0.5895  2 Al 2.63-2.81
71 Te 0.4141 0.1248 0.5895  2 Al 2.63-2.81
72 Te 0.3246 0.5354 0.4105  2 Al 2.63-2.81
73 Te 0.4646 0.7892 0.8752  2 Al 2.63-2.81
74 Te 0.2892 0.8752 0.9646  2 Al 2.63-2.81
75 Al 0.5000 0.5000 0.0000  6 Te 2.81
76 Dy 0.1250 0.8750 0.7500  8 Te 3.26-3.30
77 Dy 0.3750 0.6250 0.2500  8 Te 3.26-3.30
78 Te 0.7108 0.1248 0.0354  2 Al 2.63-2.81
79 Dy 0.7500 0.3750 0.1250  8 Te 3.26-3.30
80 Te 0.9141 0.8246 0.7892  2 Al 2.63-2.81

Computed properties:
E_form (uncorrected)   -70.1 kJ per mole of atoms
Magnetic moment   0.00 μB/f.u.

---

2.
First-principles (PBE) data for an optimized crystal structure of Dy2AlTe4, as listed in Alexandria.

a = 4.2576 Å, b = 7.5337 Å, c = 8.0558 Å
α = 118.15°, β = 105.32°, γ = 90.00°
Last column: nearest neighbours and their distance in Å.
Element x y z (fractional)
1 Dy 0.2543 0.2383 0.5087  6 Te 3.04-3.14
2 Te 0.3816 0.7149 0.7632  2 Al 2.94, 3 Dy 3.14
3 Te 0.8899 0.2207 0.7797  1 Al 2.91, 3 Dy 3.04-3.07
4 Te 0.1101 0.7793 0.2203  1 Al 2.91, 3 Dy 3.04-3.07
5 Te 0.6184 0.2851 0.2368  2 Al 2.94, 3 Dy 3.14
6 Dy 0.7457 0.7617 0.4913  6 Te 3.04-3.14
7 Al 0.0000 0.0000 0.0000  6 Te 2.91-2.94

Computed properties:
E_form (uncorrected)   -96.7 kJ per mole of atoms
Magnetic moment   0.00 μB/f.u.

---

3.
First-principles (PBE) data for an optimized crystal structure of Dy3AlTe6, as listed in Alexandria.

a = 8.8194 Å, b = 8.8194 Å, c = 8.8194 Å
α = 89.99°, β = 89.99°, γ = 89.99°
Last column: nearest neighbours and their distance in Å.
Element x y z (fractional)
1 Te 0.0880 0.2980 0.9168  1 Al 2.84, 3 Dy 3.07-3.13
2 Te 0.1952 0.5412 0.4201  1 Al 2.80, 3 Dy 3.06-3.13
3 Te 0.0832 0.9120 0.7020  1 Al 2.84, 3 Dy 3.07-3.13
4 Dy 0.5673 0.0772 0.2401  6 Te 3.06-3.13
5 Te 0.4201 0.1952 0.5412  1 Al 2.80, 3 Dy 3.06-3.13
6 Dy 0.4327 0.9228 0.7599  6 Te 3.06-3.13
7 Te 0.9120 0.7020 0.0832  1 Al 2.84, 3 Dy 3.07-3.13
8 Dy 0.2401 0.5673 0.0772  6 Te 3.06-3.13
9 Te 0.7020 0.0832 0.9120  1 Al 2.84, 3 Dy 3.07-3.13
10 Te 0.5412 0.4201 0.1952  1 Al 2.80, 3 Dy 3.06-3.13
11 Te 0.5799 0.8048 0.4588  1 Al 2.80, 3 Dy 3.06-3.13
12 Al 0.5000 0.5000 0.5000  6 Te 2.80
13 Te 0.8048 0.4588 0.5799  1 Al 2.80, 3 Dy 3.06-3.13
14 Te 0.2980 0.9168 0.0880  1 Al 2.84, 3 Dy 3.07-3.13
15 Dy 0.9228 0.7599 0.4327  6 Te 3.06-3.13
16 Al 0.0000 0.0000 0.0000  6 Te 2.84
17 Dy 0.0772 0.2401 0.5673  6 Te 3.06-3.13
18 Te 0.4588 0.5799 0.8048  1 Al 2.80, 3 Dy 3.06-3.13
19 Dy 0.7599 0.4327 0.9228  6 Te 3.06-3.13
20 Te 0.9168 0.0880 0.2980  1 Al 2.84, 3 Dy 3.07-3.13

Computed properties:
E_form (uncorrected)   -103.1 kJ per mole of atoms
Polymorph energy (0 for the lowest one)   0.59 eV per formula unit
Magnetic moment   0.00 μB/f.u.

---

4.
First-principles (PBE) data for an optimized crystal structure of Dy3AlTl3Te8, as listed in Alexandria.

a = 8.7114 Å, b = 8.7200 Å, c = 9.6090 Å
α = 117.00°, β = 90.01°, γ = 119.98°
Last column: nearest neighbours and their distance in Å.
Element x y z (fractional)
1 Tl 0.5000 0.5000 0.0000  6 Te 3.42-3.45
2 Te 0.2223 0.4445 0.7014  1 Al 2.86, 2 Dy 3.08
3 Te 0.2223 0.9789 0.7014  1 Al 2.87, 2 Dy 3.08
4 Dy 0.0000 0.5000 0.5000  6 Te 3.08
5 Te 0.7566 0.9789 0.7014  1 Al 2.87, 2 Dy 3.08
6 Te 0.7777 0.0211 0.2986  1 Al 2.87, 2 Dy 3.08
7 Dy 0.5000 0.0000 0.5000  6 Te 3.08
8 Te 0.7777 0.5555 0.2986  1 Al 2.86, 2 Dy 3.08
9 Dy 0.5000 0.5000 0.5000  6 Te 3.08
10 Tl 0.0000 0.5000 0.0000  6 Te 3.42-3.45
11 Te 0.2611 0.5224 0.2833  3 Dy 3.08, 3 Tl 3.42
12 Al 0.0000 0.0000 0.5000  6 Te 2.86-2.87
13 Te 0.7389 0.4776 0.7167  3 Dy 3.08, 3 Tl 3.42
14 Tl 0.0000 0.0000 0.0000  6 Te 3.42-3.45
15 Te 0.2434 0.0211 0.2986  1 Al 2.87, 2 Dy 3.08

Computed properties:
E_form (uncorrected)   -82.0 kJ per mole of atoms
Magnetic moment   0.00 μB/f.u.

---

5.
First-principles (PBE) data for an optimized crystal structure of DyAlTl2Te4, as listed in Alexandria.

a = 9.0457 Å, b = 9.0457 Å, c = 9.1522 Å
α = 120.39°, β = 120.39°, γ = 90.39°
Last column: nearest neighbours and their distance in Å.
Element x y z (fractional)
1 Al 0.0000 0.0000 0.0000  6 Te 2.93
2 Te 0.7455 0.2895 0.5175  1 Al 2.93, 2 Dy 3.09
3 Te 0.2419 0.2580 0.0412  2 Al 2.93, 1 Dy 3.13
4 Tl 0.5000 0.0000 0.5000  6 Te 3.31-3.33
5 Te 0.7895 0.2455 0.0175  1 Al 2.93, 2 Dy 3.09
6 Tl 0.5000 0.5000 0.0000  6 Te 3.47-3.49
7 Al 0.5000 0.5000 0.5000  6 Te 2.93
8 Te 0.7580 0.7419 0.5412  2 Al 2.93, 1 Dy 3.13
9 Tl 0.5000 0.0000 0.0000  6 Te 3.31-3.33
10 Dy 0.0000 0.5000 0.0000  6 Te 3.09-3.13
11 Te 0.7581 0.7420 0.9588  2 Al 2.93, 1 Dy 3.13
12 Te 0.2105 0.7545 0.9825  1 Al 2.93, 2 Dy 3.09
13 Tl 0.0000 0.0000 0.5000  6 Te 3.47-3.49
14 Te 0.2545 0.7105 0.4825  1 Al 2.93, 2 Dy 3.09
15 Te 0.2420 0.2581 0.4588  2 Al 2.93, 1 Dy 3.13
16 Dy 0.0000 0.5000 0.5000  6 Te 3.09-3.13

Computed properties:
E_form (uncorrected)   -60.3 kJ per mole of atoms
Magnetic moment   0.00 μB/f.u.

---

6.
First-principles (PBE) data for an optimized crystal structure of Dy5ThAl3, as listed in Alexandria.

a = 6.6066 Å, b = 9.1376 Å, c = 9.1373 Å
α = 120.00°, β = 90.00°, γ = 90.00°
Last column: nearest neighbours and their distance in Å.
Element x y z (fractional)
1 Dy 0.2500 0.6665 0.0000  5 Al 3.03-3.30
2 Al 0.7500 0.3354 0.3354  5 Dy 3.03-3.30
3 Dy 0.5000 0.6667 0.3334  8 Dy 3.30-3.46, 6 Al 3.46
4 Dy 0.7500 0.0000 0.3335  5 Al 3.03-3.30
5 Dy 0.5000 0.3333 0.6666  8 Dy 3.30-3.46, 6 Al 3.46
6 Dy 0.2500 0.0000 0.6665  5 Al 3.03-3.30
7 Th 0.0000 0.0000 0.0000  2 Th 3.30, 6 Dy 3.47, 6 Al 3.48
8 Al 0.2500 0.3354 0.0000  5 Dy 3.03-3.30
9 Dy 0.2500 0.3335 0.3335  5 Al 3.03-3.30
10 Al 0.2500 0.0000 0.3354  5 Dy 3.03-3.30
11 Al 0.7500 0.6646 0.0000  5 Dy 3.03-3.30
12 Dy 0.0000 0.6667 0.3334  8 Dy 3.30-3.46, 6 Al 3.46
13 Dy 0.7500 0.6665 0.6665  5 Al 3.03-3.30
14 Al 0.7500 0.0000 0.6646  5 Dy 3.03-3.30
15 Al 0.2500 0.6646 0.6646  5 Dy 3.03-3.30
16 Dy 0.0000 0.3333 0.6666  8 Dy 3.30-3.46, 6 Al 3.46
17 Th 0.5000 0.0000 0.0000  2 Th 3.30, 6 Dy 3.47, 6 Al 3.48
18 Dy 0.7500 0.3335 0.0000  5 Al 3.03-3.30

Computed properties:
Formation enthalpy at 0 K   -23.81 kJ per mole of atoms
Magnetic moment   0.00 μB/f.u.

---

7.
First-principles (PBE) data for an optimized crystal structure of DyTh2Al2, as listed in Alexandria.

a = 4.4574 Å, b = 7.8900 Å, c = 7.8900 Å
α = 90.00°, β = 90.00°, γ = 90.00°
Last column: nearest neighbours and their distance in Å.
Element x y z (fractional)
1 Al 0.0000 0.8803 0.6197  1 Al 2.67
2 Al 0.0000 0.1197 0.3803  1 Al 2.67
3 Th 0.5000 0.3258 0.1742  6 Al 3.20-3.25
4 Dy 0.0000 0.0000 0.0000  4 Al 3.15
5 Dy 0.0000 0.5000 0.5000  4 Al 3.15
6 Al 0.0000 0.6197 0.1197  1 Al 2.67
7 Al 0.0000 0.3803 0.8803  1 Al 2.67
8 Th 0.5000 0.8258 0.3258  6 Al 3.20-3.25
9 Th 0.5000 0.1742 0.6742  6 Al 3.20-3.25
10 Th 0.5000 0.6742 0.8258  6 Al 3.20-3.25

Computed properties:
Formation enthalpy at 0 K   -25.41 kJ per mole of atoms
Polymorph energy (0 for the lowest one)   0.00 eV per formula unit
Magnetic moment   0.00 μB/f.u.

---

8.
First-principles (PBE) data for an optimized crystal structure of Dy4ThAl5, as listed in Alexandria.

a = 3.5650 Å, b = 3.5650 Å, c = 18.7375 Å
α = 90.00°, β = 90.00°, γ = 90.00°
Last column: nearest neighbours and their distance in Å.
Element x y z (fractional)
1 Al 0.5000 0.5000 0.6940  8 Dy 3.11-3.12
2 Dy 0.0000 0.0000 0.4030  8 Al 3.11
3 Al 0.5000 0.5000 0.1095  4 Dy 3.12, 4 Th 3.25
4 Th 0.0000 0.0000 0.0000  8 Al 3.25, 4 Th 3.57
5 Al 0.5000 0.5000 0.3060  8 Dy 3.11-3.12
6 Dy 0.0000 0.0000 0.7919  8 Al 3.12
7 Dy 0.0000 0.0000 0.5970  8 Al 3.11
8 Al 0.5000 0.5000 0.5000  8 Dy 3.11
9 Dy 0.0000 0.0000 0.2081  8 Al 3.12
10 Al 0.5000 0.5000 0.8905  4 Dy 3.12, 4 Th 3.25

Computed properties:
Formation enthalpy at 0 K   -34.91 kJ per mole of atoms
Magnetic moment   0.00 μB/f.u.

---

9.
First-principles (PBE) data for an optimized crystal structure of Dy5ThAl4, as listed in Alexandria.

a = 3.4424 Å, b = 3.4424 Å, c = 20.9770 Å
α = 90.00°, β = 90.00°, γ = 90.00°
Last column: nearest neighbours and their distance in Å.
Element x y z (fractional)
1 Al 0.0000 0.0000 0.5946  8 Dy 3.13-3.14, 4 Al 3.44
2 Th 0.0000 0.0000 0.0000  4 Th 3.44, 8 Dy 3.53
3 Dy 0.5000 0.5000 0.1219  4 Al 3.13, 4 Dy 3.44
4 Al 0.0000 0.0000 0.4054  8 Dy 3.13-3.14, 4 Al 3.44
5 Dy 0.5000 0.5000 0.6886  8 Al 3.13-3.15, 4 Dy 3.44
6 Dy 0.5000 0.5000 0.5000  8 Al 3.14, 4 Dy 3.44
7 Dy 0.5000 0.5000 0.8781  4 Al 3.13, 4 Dy 3.44
8 Al 0.0000 0.0000 0.7840  8 Dy 3.13-3.15, 4 Al 3.44
9 Dy 0.5000 0.5000 0.3114  8 Al 3.13-3.15, 4 Dy 3.44
10 Al 0.0000 0.0000 0.2160  8 Dy 3.13-3.15, 4 Al 3.44

Computed properties:
Formation enthalpy at 0 K   -30.05 kJ per mole of atoms
Magnetic moment   0.00 μB/f.u.

---

10.
First-principles (PBE) data for an optimized crystal structure of DyTh2Al6, as listed in Alexandria.

a = 3.7292 Å, b = 7.8978 Å, c = 7.8978 Å
α = 120.00°, β = 90.00°, γ = 90.00°
Last column: nearest neighbours and their distance in Å.
Element x y z (fractional)
1 Th 0.0000 0.6667 0.3333  12 Al 3.23
2 Al 0.5000 0.6689 0.0000  3 Al 2.62-2.67
3 Th 0.0000 0.3333 0.6667  12 Al 3.23
4 Al 0.5000 0.6689 0.6689  3 Al 2.62-2.67
5 Al 0.5000 0.0000 0.3311  3 Al 2.62-2.67
6 Al 0.5000 0.3311 0.3311  3 Al 2.62-2.67
7 Al 0.5000 0.3311 0.0000  3 Al 2.62-2.67
8 Al 0.5000 0.0000 0.6689  3 Al 2.62-2.67
9 Dy 0.0000 0.0000 0.0000  12 Al 3.21

Computed properties:
Formation enthalpy at 0 K   -42.62 kJ per mole of atoms
Magnetic moment   0.00 μB/f.u.

---

11.
First-principles (PBE) data for an optimized crystal structure of DyTh2Al9, as listed in Alexandria.

a = 5.6489 Å, b = 5.6489 Å, c = 9.4563 Å
α = 72.62°, β = 72.62°, γ = 60.00°
Last column: nearest neighbours and their distance in Å.
Element x y z (fractional)
1 Al 0.6651 0.6651 0.0048  6 Al 2.72-2.75
2 Al 0.5859 0.5859 0.7525  7 Al 2.72-2.88
3 Al 0.4141 0.4141 0.2475  7 Al 2.72-2.88
4 Dy 0.0000 0.0000 0.0000  18 Al 3.26-3.58
5 Al 0.3349 0.3349 0.9952  6 Al 2.72-2.75
6 Th 0.1426 0.1426 0.5723  12 Al 3.25-3.32, 3 Th 3.50
7 Al 0.4141 0.9242 0.2475  7 Al 2.72-2.88
8 Al 0.5859 0.0758 0.7525  7 Al 2.72-2.88
9 Th 0.8574 0.8574 0.4277  12 Al 3.25-3.32, 3 Th 3.50
10 Al 0.9242 0.4141 0.2475  7 Al 2.72-2.88
11 Al 0.5000 0.5000 0.5000  6 Al 2.79
12 Al 0.0758 0.5859 0.7525  7 Al 2.72-2.88

Computed properties:
Formation enthalpy at 0 K   -29.79 kJ per mole of atoms
Magnetic moment   0.00 μB/f.u.

---

12.
First-principles (PBE) data for an optimized crystal structure of Dy4ThAl, as listed in Alexandria.

a = 3.5639 Å, b = 3.5639 Å, c = 13.8364 Å
α = 90.00°, β = 90.00°, γ = 90.00°
Last column: nearest neighbours and their distance in Å.
Element x y z (fractional)
1 Al 0.5000 0.5000 0.5000  8 Dy 3.13
2 Dy 0.5000 0.5000 0.8256  4 Th 3.49, 8 Dy 3.56-3.65
3 Th 0.0000 0.0000 0.0000  8 Dy 3.49, 4 Th 3.56
4 Dy 0.5000 0.5000 0.1744  4 Th 3.49, 8 Dy 3.56-3.65
5 Dy 0.0000 0.0000 0.3656  4 Al 3.13
6 Dy 0.0000 0.0000 0.6344  4 Al 3.13

Computed properties:
Formation enthalpy at 0 K   -11.18 kJ per mole of atoms
Magnetic moment   0.00 μB/f.u.

---

no.,electronic total energy (eV for the cell shown)
1,-338.99
2,-32.53
3,-94.16
4,-62.53
5,-61.28
6,-87.76
7,-56.49
8,-48.16
9,-48.51
10,-45.87
11,-56.83
12,-30.27